Entry 1:
# Ta2AsBr

A crystal of Ta2AsBr relaxed with PBEsol (SCAN, the Alexandria database).

Properties
VASP energy	-171.427	eV/f.u.
total magnetization	0.00	Bohr magnetons per cell
symmetry	No. 225

Cell lengths 4.533, 4.533, 4.533 Å; angles 60.00, 60.00, 60.00 degrees
Atoms (fractional coordinates):
Ta 0.250 0.250 0.250
Ta 0.750 0.750 0.750
As 0.000 0.000 0.000
Br 0.500 0.500 0.500

***

Entry 2:
# Os2Br

A crystal of Os2Br relaxed with PBEsol (SCAN, the Alexandria database).

Properties
VASP energy	-160.525	eV/f.u.
total magnetization	0.00	Bohr magnetons per cell
symmetry	No. 63

Cell lengths 9.847, 9.847, 4.097 Å; angles 90.00, 90.00, 163.10 degrees
Atoms (fractional coordinates):
Os 0.154 0.846 0.750
Os 0.236 0.764 0.250
Os 0.764 0.236 0.750
Os 0.846 0.154 0.250
Br 0.425 0.575 0.750
Br 0.575 0.425 0.250

***

Entry 3:
# SbIr

A crystal of SbIr relaxed with PBEsol (SCAN, the Alexandria database).

Properties
VASP energy	-107.886	eV/f.u.
total magnetization	0.00	Bohr magnetons per cell
symmetry	No. 194

Cell lengths 3.633, 3.633, 6.792 Å; angles 90.00, 90.00, 120.00 degrees
Atoms (fractional coordinates):
Sb 0.000 0.000 0.000
Sb 0.000 0.000 0.500
Ir 0.333 0.667 0.250
Ir 0.667 0.333 0.750

***

Entry 4:
# GaCuSe2

A crystal of GaCuSe2 relaxed with PBEsol (SCAN, the Alexandria database).

Properties
VASP energy	-73.787	eV/f.u.
total magnetization	0.00	Bohr magnetons per cell
symmetry	No. 122

Cell lengths 6.791, 6.791, 6.791 Å; angles 131.57, 131.57, 70.91 degrees
Atoms (fractional coordinates):
Ga 0.000 0.000 0.000
Ga 0.750 0.250 0.500
Cu 0.250 0.750 0.500
Cu 0.500 0.500 0.000
Se 0.133 0.625 0.008
Se 0.375 0.383 0.508
Se 0.617 0.125 0.992
Se 0.875 0.867 0.492

***

Entry 5:
# Be2InSb

A crystal of Be2InSb relaxed with PBEsol (SCAN, the Alexandria database).

Properties
VASP energy	-77.564	eV/f.u.
total magnetization	0.00	Bohr magnetons per cell
symmetry	No. 25

Cell lengths 2.893, 3.410, 7.321 Å; angles 90.00, 90.00, 90.00 degrees
Atoms (fractional coordinates):
Be 0.000 0.000 0.000
Be 0.500 0.500 0.125
In 0.000 0.000 0.363
Sb 0.500 0.500 0.779

***

Entry 6:
# Zr2AlNi4

A crystal of Zr2AlNi4 relaxed with PBEsol (SCAN, the Alexandria database).

Properties
VASP energy	-137.765	eV/f.u.
ΔE_f	-0.560	eV per atom
total magnetization	0.00	Bohr magnetons per cell
symmetry	No. 59

Cell lengths 3.984, 7.035, 7.039 Å; angles 90.00, 90.00, 90.00 degrees
Atoms (fractional coordinates):
Zr 0.250 0.004 0.192
Zr 0.250 0.496 0.192
Zr 0.750 0.504 0.808
Zr 0.750 0.996 0.808
Al 0.250 0.750 0.552
Al 0.750 0.250 0.448
Ni 0.250 0.083 0.578
Ni 0.250 0.250 0.893
Ni 0.250 0.417 0.578
Ni 0.250 0.750 0.899
Ni 0.750 0.250 0.101
Ni 0.750 0.583 0.422
Ni 0.750 0.750 0.107
Ni 0.750 0.917 0.422

***

Entry 7:
# CoBP3

A crystal of CoBP3 relaxed with PBEsol (SCAN, the Alexandria database).

Properties
VASP energy	-48.642	eV/f.u.
ΔE_f	1.458	eV per atom
total magnetization	0.00	Bohr magnetons per cell
symmetry	No. 221

Cell lengths 4.221, 4.221, 4.221 Å; angles 90.00, 90.00, 90.00 degrees
Atoms (fractional coordinates):
Co 0.000 0.000 0.000
B 0.500 0.500 0.500
P 0.000 0.000 0.500
P 0.000 0.500 0.000
P 0.500 0.000 0.000

***

Entry 8:
# KRhC2

A crystal of KRhC2 relaxed with PBEsol (SCAN, the Alexandria database).

Properties
VASP energy	-58.845	eV/f.u.
ΔE_f	0.864	eV per atom
total magnetization	0.00	Bohr magnetons per cell
symmetry	No. 141

Cell lengths 6.481, 6.481, 6.481 Å; angles 131.87, 131.87, 70.43 degrees
Atoms (fractional coordinates):
K 0.375 0.625 0.750
K 0.625 0.375 0.250
Rh 0.125 0.875 0.250
Rh 0.875 0.125 0.750
C 0.000 0.000 0.000
C 0.000 0.000 0.500
C 0.000 0.500 0.000
C 0.500 0.000 0.500